No. 1
Below is an optimized crystal structure of TbNiAg, with properties calculated at the PBE level.

Structure (POSCAR):
```
TbNiAg
1.0
6.111 -1.978 0.000
6.111 1.978 0.000
-0.956 0.000 4.909
Tb Ni Ag
2 2 2
direct
0.129 0.129 0.315 Tb
0.871 0.871 0.685 Tb
0.232 0.232 0.860 Ni
0.768 0.768 0.140 Ni
0.423 0.423 0.225 Ag
0.577 0.577 0.775 Ag
```

Output
total moment: 0.000 μB/atom
VASP energy: -4.728 eV per atom
Fermi-level density of states: 0.55 states/eV/atom
theoretical density: 9.110 g/cm³
V: 19.8 Å³/atom
space-group type: C2/m, No. 12
crystal system: monoclinic

---

No. 2
Below is an optimized crystal structure of YTa4Se, with properties calculated at the PBE level.

Structure (POSCAR):
```
YTa4Se
1.0
0.000 4.003 4.003
4.003 0.000 4.003
4.003 4.003 0.000
Y Ta Se
1 4 1
direct
0.000 0.000 0.000 Y
0.372 0.372 0.372 Ta
0.372 0.372 0.884 Ta
0.372 0.884 0.372 Ta
0.884 0.372 0.372 Ta
0.750 0.750 0.750 Se
```

Output
total moment: 0.000 μB/atom
Fermi-level density of states: 1.05 states/eV/atom
theoretical density: 11.542 g/cm³
V: 21.4 Å³/atom
space-group type: F-43m, No. 216
crystal system: cubic
formation energy without anion corrections: 406.9 meV per atom

---

No. 3
Below is an optimized crystal structure of RbCaTmO3, with properties calculated at the PBE level.

Structure (POSCAR):
```
RbCaTmO3
1.0
7.669 0.000 0.000
0.000 3.443 0.000
-0.718 0.000 10.004
Rb Ca Tm O
2 2 2 6
direct
0.126 0.250 0.203 Rb
0.874 0.750 0.797 Rb
0.160 0.250 0.566 Ca
0.840 0.750 0.434 Ca
0.403 0.750 0.875 Tm
0.597 0.250 0.125 Tm
0.137 0.750 0.430 O
0.254 0.250 0.791 O
0.397 0.750 0.086 O
0.603 0.250 0.914 O
0.746 0.750 0.209 O
0.863 0.250 0.570 O
```

Output
total moment: 0.005 μB/atom
Fermi-level density of states: 0.00 states/eV/atom
theoretical density: 4.306 g/cm³
V: 22.0 Å³/atom
space-group type: P2_1/m, No. 11
crystal system: monoclinic
formation energy without anion corrections: -2600.1 meV per atom

---

No. 4
Below is an optimized crystal structure of LuZrAlV, with properties calculated at the PBE level.

Structure (POSCAR):
```
LuZrAlV
1.0
0.000 3.439 3.439
3.439 0.000 3.439
3.439 3.439 0.000
Lu Zr Al V
1 1 1 1
direct
0.000 0.000 0.000 Lu
0.500 0.500 0.500 Zr
0.250 0.250 0.250 Al
0.750 0.750 0.750 V
```

Output
total moment: 0.627 μB/atom
VASP energy: -6.545 eV per atom
Fermi-level density of states: 1.11 states/eV/atom
theoretical density: 7.022 g/cm³
V: 20.3 Å³/atom
space-group type: F-43m, No. 216
crystal system: cubic

---

- The lowest theoretical density belongs to which entry?
  RbCaTmO3

---

- The highest theoretical density belongs to which entry?
  YTa4Se

---

- Look up the total moment of the third one.
  0.005 μB/atom

---

- The highest total moment belongs to which entry?
  LuZrAlV